Computed, not measured: Ba2NbSb after structural relaxation at the PBE level of DFT.

The structure belongs to space group I-42d (No. 122); the cell edges are 9.339, 9.339 and 6.559 Å and the angles 90.00°, 90.00° and 90.00°. The distinct sites, in fractional coordinates, are Ba at (0.237, 0.250, 0.125), Nb at (0.000, 0.000, 0.000) and Sb at (0.000, 0.000, 0.500).

Its formation energy without anion corrections is 0.53 eV/atom. The density of states at the Fermi level is 4.21 states/eV/f.u.

***

Computed, not measured: CuAsP after structural relaxation at the PBE level of DFT.

The structure belongs to space group P6_3/mmc (No. 194); the cell edges are 4.6501, 4.6501 and 5.0580 Å and the angles 90.00°, 90.00° and 120.00°. The distinct sites, in fractional coordinates, are Cu at (0.0000, 0.0000, 0.0000), As at (0.3333, 0.6667, 0.2500) and P at (0.3333, 0.6667, 0.7500).

The density of states at the Fermi level is 0.85 states/eV/f.u. The energy above the most stable polymorph in this dataset comes out at 399.5 meV/atom.

***

Computed, not measured: YScTl2 after structural relaxation at the PBE level of DFT.

The structure belongs to space group I-42d (No. 122); the cell edges are 8.133, 8.133 and 6.780 Å and the angles 90.00°, 90.00° and 90.00°. The distinct sites, in fractional coordinates, are Y at (0.000, 0.000, 0.000), Sc at (0.000, 0.000, 0.500) and Tl at (0.234, 0.750, 0.625).

The energy is -4.431 eV per atom. The density of states at the Fermi level is 4.46 states/eV/f.u.

***

Computed, not measured: KCd8Pd4 after structural relaxation at the PBE level of DFT.

The structure belongs to space group I4/mmm (No. 139); the cell edges are 9.653, 9.653 and 5.816 Å and the angles 90.00°, 90.00° and 90.00°. The distinct sites, in fractional coordinates, are K at (0.000, 0.000, 0.000), Cd at (0.000, 0.223, 0.500), Cd at (0.000, 0.336, 0.000) and Pd at (0.250, 0.250, 0.250).

The energy is -2.539 eV per atom. The density of states at the Fermi level is 3.97 states/eV/f.u.

***

Computed, not measured: NaSbO2F after structural relaxation at the PBE level of DFT.

The structure belongs to space group P4/mmm (No. 123); the cell edges are 4.118, 4.118 and 4.433 Å and the angles 90.00°, 90.00° and 90.00°. The distinct sites, in fractional coordinates, are Na at (0.000, 0.000, 0.000), Sb at (0.500, 0.500, 0.500), O at (0.000, 0.500, 0.500) and F at (0.500, 0.500, 0.000).

Its formation energy without anion corrections is -1.63 eV/atom. The density of states at the Fermi level is 0.64 states/eV/f.u.

***

Computed, not measured: Sr2ScTaS6 after structural relaxation at the PBE level of DFT.

The structure belongs to space group P2_1/c (No. 14); the cell edges are 6.697, 7.060 and 11.759 Å and the angles 90.00°, 124.54° and 90.00°. The distinct sites, in fractional coordinates, are Sr at (0.226, 0.079, 0.250), Sc at (0.500, 0.000, 0.000), Ta at (0.000, 0.000, 0.500), S at (0.142, 0.204, 0.954), S at (0.254, 0.692, 0.954) and S at (0.334, 0.014, 0.744).

Its formation energy without anion corrections is -1.66 eV/atom.

***

Computed, not measured: CePa2IrN4 after structural relaxation at the PBE level of DFT.

The structure belongs to space group Cmcm (No. 63); the cell edges are 3.502, 11.616 and 11.720 Å and the angles 90.00°, 90.00° and 90.00°. The distinct sites, in fractional coordinates, are Ce at (0.000, 0.109, 0.250), Pa at (0.000, 0.369, 0.059), Ir at (0.000, 0.159, 0.750), N at (0.000, 0.000, 0.000), N at (0.000, 0.276, 0.608) and N at (0.000, 0.463, 0.250).

Its formation energy without anion corrections is -1.21 eV/atom. The density of states at the Fermi level is 5.34 states/eV/f.u.

***

Computed, not measured: Tb8NdTl2 after structural relaxation at the PBE level of DFT.

The structure belongs to space group C2/m (No. 12); the cell edges are 18.911, 6.886 and 5.374 Å and the angles 90.00°, 94.03° and 90.00°. The distinct sites, in fractional coordinates, are Tb at (0.047, 0.000, 0.237), Tb at (0.131, 0.242, 0.725), Tb at (0.200, 0.500, 0.235), Nd at (0.000, 0.500, 0.000) and Tl at (0.213, 0.000, 0.242).

The energy is -4.230 eV per atom. The density of states at the Fermi level is 15.29 states/eV/f.u.

***

Summary of total magnetic moment in μB/f.u.
3.52, 0.00, 0.00, 0.00, 0.00, 0.00, 0.37, 0.00
(order as listed above)